P.
{
  "formula": "LiCaZn",
  "functional": "PBE",
  "state": "optimized geometry",
  "crystal_system": "cubic",
  "mass_density_g_cm3": 2.2,
  "dos_ef_per_ev_atom": 0.706,
  "magnetic_moment_mub_per_cell": 0.00,
  "cell": [[-2.724, -2.448, -3.256], [-3.874, -2.596, 1.506], [-4.535, 1.534, -1.048]],
  "species": ["Ca", "Li", "Zn"],
  "fractional_positions": [[0.000, 0.000, 0.000], [0.500, 0.500, 0.500], [0.750, 0.750, 0.750]]
}



Q.
{
  "formula": "LiCaZn",
  "functional": "PBE",
  "state": "optimized geometry",
  "crystal_system": "tetragonal",
  "mass_density_g_cm3": 2.7,
  "dos_ef_per_ev_atom": 0.745,
  "magnetic_moment_mub_per_cell": 0.00,
  "cell": [[-0.663, 5.917, 0.188], [-3.797, 4.457, 1.097], [0.503, 1.029, 3.387]],
  "species": ["Zn", "Ca", "Li"],
  "fractional_positions": [[0.689, 0.689, 0.311], [0.009, 0.009, 0.991], [0.302, 0.302, 0.698]]
}



Structures ranked by computed energy, the most stable listed first: Q, P.



P.
{
  "formula": "Li3CaZn8",
  "functional": "PBE",
  "state": "optimized geometry",
  "crystal_system": "trigonal",
  "mass_density_g_cm3": 4.7,
  "dos_ef_per_ev_atom": 0.273,
  "magnetic_moment_mub_per_cell": 0.00,
  "cell": [[-3.885, 3.321, 1.260], [-0.787, -5.198, 0.276], [2.658, 0.029, 8.123]],
  "species": ["Li", "Li", "Li", "Ca", "Zn", "Zn", "Zn", "Zn", "Zn", "Zn", "Zn", "Zn"],
  "fractional_positions": [[0.667, 0.333, 0.424], [0.667, 0.333, 0.062], [0.000, 0.000, 0.948], [0.000, 0.000, 0.561], [0.333, 0.667, 0.497], [0.333, 0.667, 0.001], [0.504, 0.007, 0.759], [0.504, 0.496, 0.759], [0.993, 0.496, 0.759], [0.164, 0.327, 0.244], [0.164, 0.836, 0.244], [0.673, 0.836, 0.244]]
}



Q.
{
  "formula": "Li3CaZn8",
  "functional": "PBE",
  "state": "optimized geometry",
  "crystal_system": "trigonal",
  "mass_density_g_cm3": 4.7,
  "dos_ef_per_ev_atom": 0.363,
  "magnetic_moment_mub_per_cell": 0.00,
  "cell": [[-4.025, -2.327, 2.379], [-3.221, -3.077, -2.727], [2.629, -8.683, 1.690]],
  "species": ["Li", "Li", "Li", "Ca", "Zn", "Zn", "Zn", "Zn", "Zn", "Zn", "Zn", "Zn"],
  "fractional_positions": [[0.375, 0.375, 0.876], [0.003, 0.003, 0.991], [0.494, 0.494, 0.519], [0.875, 0.875, 0.376], [0.942, 0.440, 0.178], [0.432, 0.937, 0.693], [0.440, 0.440, 0.178], [0.937, 0.937, 0.693], [0.187, 0.187, 0.440], [0.688, 0.688, 0.935], [0.440, 0.942, 0.178], [0.937, 0.432, 0.693]]
}



Structures ranked by computed energy, the most stable listed first: P, Q.



P.
{
  "formula": "LiCaZn2",
  "functional": "PBE",
  "state": "optimized geometry",
  "crystal_system": "monoclinic",
  "mass_density_g_cm3": 3.4,
  "dos_ef_per_ev_atom": 0.546,
  "magnetic_moment_mub_per_cell": 0.00,
  "cell": [[-1.895, -1.201, -3.726], [3.118, -0.272, -1.499], [1.893, -5.715, 0.879]],
  "species": ["Zn", "Zn", "Ca", "Li"],
  "fractional_positions": [[0.000, 0.195, 0.990], [0.500, 0.077, 0.221], [0.000, 0.457, 0.455], [0.500, 0.771, 0.834]]
}



Q.
{
  "formula": "LiCaZn2",
  "functional": "PBE",
  "state": "optimized geometry",
  "crystal_system": "tetragonal",
  "mass_density_g_cm3": 3.6,
  "dos_ef_per_ev_atom": 0.460,
  "magnetic_moment_mub_per_cell": 0.00,
  "cell": [[-0.159, 4.382, 2.783], [-4.980, 1.465, -0.151], [1.992, -4.614, 1.311]],
  "species": ["Ca", "Li", "Zn", "Zn"],
  "fractional_positions": [[0.250, 0.750, 0.500], [0.750, 0.250, 0.500], [0.000, 0.000, 0.000], [0.500, 0.500, 0.000]]
}



R.
{
  "formula": "LiCaZn2",
  "functional": "PBE",
  "state": "optimized geometry",
  "crystal_system": "orthorhombic",
  "mass_density_g_cm3": 3.5,
  "dos_ef_per_ev_atom": 0.621,
  "magnetic_moment_mub_per_cell": 0.00,
  "cell": [[4.780, 0.000, 0.000], [-2.390, 5.178, 0.000], [0.000, 0.000, 6.745]],
  "species": ["Li", "Li", "Ca", "Ca", "Zn", "Zn", "Zn", "Zn"],
  "fractional_positions": [[0.208, 0.417, 0.250], [0.792, 0.583, 0.750], [0.907, 0.813, 0.250], [0.093, 0.187, 0.750], [0.383, 0.766, 0.936], [0.617, 0.234, 0.064], [0.617, 0.234, 0.436], [0.383, 0.766, 0.564]]
}



S.
{
  "formula": "LiCaZn2",
  "functional": "PBE",
  "state": "optimized geometry",
  "crystal_system": "tetragonal",
  "mass_density_g_cm3": 3.4,
  "dos_ef_per_ev_atom": 0.585,
  "magnetic_moment_mub_per_cell": 0.00,
  "cell": [[4.623, 0.000, 0.000], [0.000, 4.624, 0.000], [0.000, 0.000, 4.029]],
  "species": ["Ca", "Li", "Zn", "Zn"],
  "fractional_positions": [[0.500, 0.000, 0.500], [0.000, 0.500, 0.500], [0.000, 0.000, 0.000], [0.500, 0.500, 0.000]]
}



Structures ranked by computed energy, the most stable listed first: R, P, Q, S.



P.
{
  "formula": "LiCaZn2",
  "functional": "PBE",
  "state": "optimized geometry",
  "crystal_system": "orthorhombic",
  "mass_density_g_cm3": 3.5,
  "dos_ef_per_ev_atom": 0.276,
  "magnetic_moment_mub_per_cell": 0.00,
  "cell": [[-0.937, 3.740, 0.211], [-3.243, -0.599, -3.782], [-1.024, -2.510, 4.604]],
  "species": ["Ca", "Li", "Zn", "Zn"],
  "fractional_positions": [[0.509, 0.509, 0.018], [0.719, 0.219, 0.438], [0.985, 0.985, 0.971], [0.286, 0.786, 0.573]]
}



Q.
{
  "formula": "LiCaZn2",
  "functional": "PBE",
  "state": "optimized geometry",
  "crystal_system": "tetragonal",
  "mass_density_g_cm3": 3.5,
  "dos_ef_per_ev_atom": 0.753,
  "magnetic_moment_mub_per_cell": 0.00,
  "cell": [[3.470, 0.000, 0.000], [0.000, 3.470, 0.000], [0.000, 0.000, 6.931]],
  "species": ["Ca", "Li", "Zn", "Zn"],
  "fractional_positions": [[0.000, 0.000, 0.479], [0.500, 0.500, 0.815], [0.000, 0.000, 0.002], [0.500, 0.500, 0.203]]
}



Structures ranked by computed energy, the most stable listed first: P, Q.



P.
{
  "formula": "LiCaZn2",
  "functional": "PBE",
  "state": "optimized geometry",
  "crystal_system": "monoclinic",
  "mass_density_g_cm3": 3.4,
  "dos_ef_per_ev_atom": 0.785,
  "magnetic_moment_mub_per_cell": 0.01,
  "cell": [[-1.280, 2.623, 3.309], [-4.159, -0.163, 1.463], [-0.479, -2.775, 4.935]],
  "species": ["Zn", "Zn", "Ca", "Li"],
  "fractional_positions": [[0.016, 0.016, 0.951], [0.698, 0.698, 0.905], [0.492, 0.492, 0.523], [0.293, 0.293, 0.121]]
}



Q.
{
  "formula": "LiCaZn2",
  "functional": "PBE",
  "state": "optimized geometry",
  "crystal_system": "cubic",
  "mass_density_g_cm3": 3.5,
  "dos_ef_per_ev_atom": 0.757,
  "magnetic_moment_mub_per_cell": 0.00,
  "cell": [[1.503, 1.508, 4.429], [-2.502, 3.493, 2.386], [-2.611, -1.147, 4.003]],
  "species": ["Zn", "Zn", "Ca", "Li"],
  "fractional_positions": [[0.250, 0.250, 0.250], [0.750, 0.750, 0.750], [0.500, 0.500, 0.500], [0.000, 0.000, 0.000]]
}



Structures ranked by computed energy, the most stable listed first: P, Q.



P.
{
  "formula": "LiCaZn2",
  "functional": "PBE",
  "state": "optimized geometry",
  "crystal_system": "tetragonal",
  "mass_density_g_cm3": 3.0,
  "dos_ef_per_ev_atom": 0.690,
  "magnetic_moment_mub_per_cell": 0.00,
  "cell": [[-3.218, -1.296, -3.066], [2.229, -4.006, -0.646], [-5.413, -6.482, 4.925]],
  "species": ["Zn", "Zn", "Zn", "Zn", "Ca", "Ca", "Li", "Li"],
  "fractional_positions": [[0.446, 0.125, 0.250], [0.304, 0.625, 0.250], [0.375, 0.554, 0.750], [0.875, 0.696, 0.750], [0.000, 0.000, 0.000], [0.750, 0.250, 0.500], [0.500, 0.500, 0.000], [0.250, 0.750, 0.500]]
}



Q.
{
  "formula": "LiCaZn2",
  "functional": "PBE",
  "state": "optimized geometry",
  "crystal_system": "orthorhombic",
  "mass_density_g_cm3": 3.8,
  "dos_ef_per_ev_atom": 0.640,
  "magnetic_moment_mub_per_cell": 0.00,
  "cell": [[-2.809, 2.884, -2.586], [-3.339, -3.422, -0.180], [1.694, 1.536, 4.202]],
  "species": ["Zn", "Zn", "Ca", "Li"],
  "fractional_positions": [[0.001, 0.001, 0.000], [0.242, 0.742, 0.500], [0.500, 0.500, 0.000], [0.756, 0.256, 0.500]]
}



R.
{
  "formula": "LiCaZn2",
  "functional": "PBE",
  "state": "optimized geometry",
  "crystal_system": "monoclinic",
  "mass_density_g_cm3": 3.7,
  "dos_ef_per_ev_atom": 0.386,
  "magnetic_moment_mub_per_cell": 0.00,
  "cell": [[-1.909, -2.311, 1.592], [1.788, -2.541, -1.545], [6.214, -2.589, 3.693]],
  "species": ["Zn", "Zn", "Ca", "Li"],
  "fractional_positions": [[0.000, 0.053, 0.946], [0.000, 0.447, 0.554], [0.500, 0.250, 0.250], [0.500, 0.750, 0.750]]
}



Structures ranked by computed energy, the most stable listed first: R, Q, P.



P.
{
  "formula": "Li3CaZn",
  "functional": "PBE",
  "state": "optimized geometry",
  "crystal_system": "cubic",
  "mass_density_g_cm3": 1.7,
  "dos_ef_per_ev_atom": 0.711,
  "magnetic_moment_mub_per_cell": 0.00,
  "cell": [[-1.831, 2.715, -3.700], [-4.063, -2.810, -0.051], [-2.132, 3.024, 3.274]],
  "species": ["Zn", "Ca", "Li", "Li", "Li"],
  "fractional_positions": [[0.000, 0.000, 0.000], [0.500, 0.500, 0.500], [0.000, 0.500, 0.000], [0.000, 0.000, 0.500], [0.500, 0.000, 0.000]]
}



Q.
{
  "formula": "Li3CaZn",
  "functional": "PBE",
  "state": "optimized geometry",
  "crystal_system": "cubic",
  "mass_density_g_cm3": 1.1,
  "dos_ef_per_ev_atom": 0.711,
  "magnetic_moment_mub_per_cell": 0.00,
  "cell": [[-1.786, -1.380, 5.233], [-4.146, -3.193, -2.257], [3.478, -4.514, -0.003]],
  "species": ["Zn", "Ca", "Li", "Li", "Li"],
  "fractional_positions": [[0.500, 0.500, 0.500], [0.000, 0.000, 0.000], [0.000, 0.500, 0.000], [0.000, 0.000, 0.500], [0.500, 0.000, 0.000]]
}



R.
{
  "formula": "Li3CaZn",
  "functional": "PBE",
  "state": "optimized geometry",
  "crystal_system": "monoclinic",
  "mass_density_g_cm3": 1.8,
  "dos_ef_per_ev_atom": 0.541,
  "magnetic_moment_mub_per_cell": 0.00,
  "cell": [[-2.421, -3.187, -1.331], [-0.855, -1.017, 4.003], [-6.788, 1.867, 1.234]],
  "species": ["Li", "Li", "Li", "Ca", "Zn"],
  "fractional_positions": [[0.642, 0.946, 0.420], [0.143, 0.445, 0.421], [0.799, 0.603, 0.107], [0.419, 0.222, 0.868], [0.005, 0.809, 0.695]]
}



S.
{
  "formula": "Li3CaZn",
  "functional": "PBE",
  "state": "optimized geometry",
  "crystal_system": "monoclinic",
  "mass_density_g_cm3": 1.9,
  "dos_ef_per_ev_atom": 0.384,
  "magnetic_moment_mub_per_cell": 0.00,
  "cell": [[-1.446, -4.376, -0.017], [6.643, -2.193, -0.008], [1.394, -0.488, 6.982]],
  "species": ["Li", "Li", "Li", "Li", "Li", "Li", "Ca", "Ca", "Zn", "Zn"],
  "fractional_positions": [[0.881, 0.636, 0.529], [0.381, 0.039, 0.277], [0.880, 0.698, 0.888], [0.881, 0.256, 0.033], [0.380, 0.419, 0.774], [0.381, 0.977, 0.918], [0.381, 0.549, 0.240], [0.881, 0.126, 0.566], [0.382, 0.798, 0.621], [0.882, 0.877, 0.185]]
}



Structures ranked by computed energy, the most stable listed first: S, R, P, Q.



P.
{
  "formula": "LiCaZn3",
  "functional": "PBE",
  "state": "optimized geometry",
  "crystal_system": "monoclinic",
  "mass_density_g_cm3": 4.0,
  "dos_ef_per_ev_atom": 0.563,
  "magnetic_moment_mub_per_cell": 0.00,
  "cell": [[-3.508, -4.320, 1.988], [1.099, -1.650, 5.568], [-4.091, 4.277, 2.075]],
  "species": ["Li", "Li", "Ca", "Ca", "Zn", "Zn", "Zn", "Zn", "Zn", "Zn"],
  "fractional_positions": [[0.877, 0.080, 0.552], [0.684, 0.886, 0.052], [0.015, 0.217, 0.052], [0.546, 0.748, 0.552], [0.133, 0.334, 0.552], [0.428, 0.631, 0.052], [0.497, 0.266, 0.803], [0.497, 0.266, 0.302], [0.064, 0.700, 0.303], [0.064, 0.700, 0.802]]
}



Q.
{
  "formula": "LiCaZn3",
  "functional": "PBE",
  "state": "optimized geometry",
  "crystal_system": "cubic",
  "mass_density_g_cm3": 2.2,
  "dos_ef_per_ev_atom": 0.681,
  "magnetic_moment_mub_per_cell": 0.00,
  "cell": [[-4.701, 1.770, 2.659], [-2.687, -4.748, -1.590], [1.726, -2.573, 4.764]],
  "species": ["Zn", "Zn", "Zn", "Ca", "Li"],
  "fractional_positions": [[0.000, 0.500, 0.000], [0.000, 0.000, 0.500], [0.500, 0.000, 0.000], [0.000, 0.000, 0.000], [0.500, 0.500, 0.500]]
}



Structures ranked by computed energy, the most stable listed first: P, Q.



P.
{
  "formula": "LiCaZn3",
  "functional": "PBE",
  "state": "optimized geometry",
  "crystal_system": "cubic",
  "mass_density_g_cm3": 4.0,
  "dos_ef_per_ev_atom": 0.390,
  "magnetic_moment_mub_per_cell": 0.00,
  "cell": [[-2.898, -3.609, 0.318], [3.474, -2.653, 1.553], [-1.027, 1.208, 4.359]],
  "species": ["Zn", "Zn", "Zn", "Ca", "Li"],
  "fractional_positions": [[0.000, 0.500, 0.000], [0.000, 0.000, 0.500], [0.500, 0.000, 0.000], [0.500, 0.500, 0.500], [0.000, 0.000, 0.000]]
}



Q.
{
  "formula": "LiCaZn3",
  "functional": "PBE",
  "state": "optimized geometry",
  "crystal_system": "monoclinic",
  "mass_density_g_cm3": 4.3,
  "dos_ef_per_ev_atom": 0.535,
  "magnetic_moment_mub_per_cell": 0.00,
  "cell": [[4.510, 0.000, 0.000], [0.000, 5.350, -2.114], [0.000, 0.272, 7.711]],
  "species": ["Li", "Li", "Ca", "Ca", "Zn", "Zn", "Zn", "Zn", "Zn", "Zn"],
  "fractional_positions": [[0.548, 0.733, 0.545], [0.048, 0.064, 0.141], [0.048, 0.517, 0.029], [0.548, 0.280, 0.657], [0.048, 0.928, 0.435], [0.548, 0.342, 0.244], [0.548, 0.868, 0.251], [0.048, 0.455, 0.442], [0.048, 0.861, 0.756], [0.548, 0.935, 0.930]]
}



Structures ranked by computed energy, the most stable listed first: Q, P.



P.
{
  "formula": "Li3Ca4Zn",
  "functional": "PBE",
  "state": "optimized geometry",
  "crystal_system": "orthorhombic",
  "mass_density_g_cm3": 1.7,
  "dos_ef_per_ev_atom": 0.821,
  "magnetic_moment_mub_per_cell": 0.00,
  "cell": [[4.084, 0.000, 0.000], [0.000, 4.838, 0.000], [0.000, 0.000, 12.193]],
  "species": ["Li", "Li", "Li", "Ca", "Ca", "Ca", "Ca", "Zn"],
  "fractional_positions": [[0.000, 0.500, 0.567], [0.000, 0.000, 0.430], [0.500, 0.000, 0.939], [0.500, 0.500, 0.333], [0.000, 0.500, 0.864], [0.000, 0.000, 0.142], [0.500, 0.000, 0.658], [0.500, 0.500, 0.067]]
}



Q.
{
  "formula": "Li3Ca4Zn",
  "functional": "PBE",
  "state": "optimized geometry",
  "crystal_system": "tetragonal",
  "mass_density_g_cm3": 1.7,
  "dos_ef_per_ev_atom": 0.779,
  "magnetic_moment_mub_per_cell": 0.00,
  "cell": [[3.868, 0.000, 0.000], [0.000, 3.868, 0.000], [0.000, 0.000, 15.659]],
  "species": ["Ca", "Ca", "Ca", "Ca", "Zn", "Li", "Li", "Li"],
  "fractional_positions": [[0.000, 0.000, 0.888], [0.000, 0.000, 0.112], [0.000, 0.000, 0.372], [0.000, 0.000, 0.628], [0.500, 0.500, 0.000], [0.500, 0.500, 0.242], [0.500, 0.500, 0.500], [0.500, 0.500, 0.758]]
}



Structures ranked by computed energy, the most stable listed first: Q, P.



P.
{
  "formula": "Li2Ca8Zn",
  "functional": "PBE",
  "state": "optimized geometry",
  "crystal_system": "monoclinic",
  "mass_density_g_cm3": 1.7,
  "dos_ef_per_ev_atom": 1.057,
  "magnetic_moment_mub_per_cell": 0.00,
  "cell": [[-1.488, 4.717, -2.784], [-7.184, -2.157, 0.184], [2.552, 2.804, 9.173]],
  "species": ["Li", "Li", "Ca", "Ca", "Ca", "Ca", "Ca", "Ca", "Ca", "Ca", "Zn"],
  "fractional_positions": [[0.819, 0.291, 0.638], [0.181, 0.709, 0.362], [0.408, 0.568, 0.817], [0.656, 0.962, 0.313], [0.801, 0.704, 0.602], [0.978, 0.213, 0.956], [0.199, 0.296, 0.398], [0.344, 0.038, 0.687], [0.592, 0.432, 0.183], [0.022, 0.787, 0.044], [0.500, 0.000, 0.000]]
}



Q.
{
  "formula": "Li2Ca8Zn",
  "functional": "PBE",
  "state": "optimized geometry",
  "crystal_system": "orthorhombic",
  "mass_density_g_cm3": 1.7,
  "dos_ef_per_ev_atom": 1.083,
  "magnetic_moment_mub_per_cell": 0.00,
  "cell": [[-4.475, 2.414, -2.254], [-5.125, -7.725, 1.901], [3.015, 5.448, 6.712]],
  "species": ["Li", "Li", "Ca", "Ca", "Ca", "Ca", "Ca", "Ca", "Ca", "Ca", "Zn"],
  "fractional_positions": [[0.201, 0.701, 0.403], [0.799, 0.299, 0.597], [0.654, 0.877, 0.307], [0.346, 0.570, 0.693], [0.129, 0.129, 0.258], [0.000, 0.318, 0.000], [0.871, 0.871, 0.742], [0.654, 0.430, 0.307], [0.346, 0.123, 0.693], [0.000, 0.682, 0.000], [0.500, 0.000, 0.000]]
}



Structures ranked by computed energy, the most stable listed first: P, Q.